Entry 1:
Here is Dy2HoNpS4 after structural relaxation from the Alexandria database. Energies are from PBE.

Cell lengths 6.7590, 3.8968, 6.7590 Å; angles 90.00, 109.35, 90.00 degrees
With the nearest neighbours (Å) after each atom.
Space group P2/m (No. 10)
Symmetry-distinct sites (fractional):
Dy  0.0000  0.0000  0.0000 (multiplicity 1)  6 S 2.75-2.76
Dy  0.5000  0.5000  0.0000 (multiplicity 1)  6 S 2.76-2.77
Ho  0.0000  0.5000  0.5000 (multiplicity 1)  6 S 2.75
Np  0.5000  0.0000  0.5000 (multiplicity 1)  6 S 2.76-2.77
S  0.2479  0.0000  0.7495 (multiplicity 2)  3 Dy 2.75-2.77, 2 Ho 2.75, 1 Np 2.77
S  0.2488  0.5000  0.2500 (multiplicity 2)  1 Ho 2.75, 3 Dy 2.76, 2 Np 2.76

Results
* crystal system: monoclinic
* final energy: -7.244 eV/atom
* formation energy from raw total energies: -1.839 eV/atom

Entry 2:
Here is Dy2HoNpS6 after structural relaxation from the Alexandria database. Energies are from PBE.

Cell lengths 6.9304, 6.9304, 18.6068 Å; angles 90.00, 90.00, 120.00 degrees
With the nearest neighbours (Å) after each atom.
Space group R3 (No. 146, hexagonal axes)
Symmetry-distinct sites (fractional):
Dy  0.0000  0.0000  0.0000 (multiplicity 3)  6 S 2.72-2.78
Dy  0.0000  0.0000  0.4976 (multiplicity 3)  6 S 2.72-2.79
Ho  0.0000  0.0000  0.6983 (multiplicity 3)  6 S 2.72-2.77
Np  0.0000  0.0000  0.2001 (multiplicity 3)  6 S 2.76-2.83
S  0.9995  0.3024  0.0980 (multiplicity 9)  1 Ho 2.72, 2 Dy 2.72-2.78, 1 Np 2.83
S  0.0075  0.7063  0.5986 (multiplicity 9)  2 Dy 2.72-2.79, 1 Np 2.76, 1 Ho 2.77

Results
* crystal system: trigonal
* final energy: -6.996 eV/atom
* formation energy from raw total energies: -1.847 eV/atom

Entry 3:
Here is Dy2HoNpSb4 after structural relaxation from the Alexandria database. Energies are from PBE.

Cell lengths 7.5936, 4.3813, 7.5956 Å; angles 90.00, 109.31, 90.00 degrees
With the nearest neighbours (Å) after each atom.
Space group P2/m (No. 10)
Symmetry-distinct sites (fractional):
Dy  0.0000  0.0000  0.0000 (multiplicity 1)  6 Sb 3.10
Dy  0.5000  0.5000  0.0000 (multiplicity 1)  6 Sb 3.10-3.11
Ho  0.0000  0.5000  0.5000 (multiplicity 1)  6 Sb 3.09-3.10
Np  0.5000  0.0000  0.5000 (multiplicity 1)  6 Sb 3.10-3.11
Sb  0.2494  0.0000  0.7491 (multiplicity 2)  1 Np 3.10, 2 Ho 3.10, 3 Dy 3.10-3.11
Sb  0.2488  0.5000  0.2495 (multiplicity 2)  1 Ho 3.09, 3 Dy 3.10, 2 Np 3.11

Results
* crystal system: monoclinic
* final energy: -6.286 eV/atom
* formation energy from raw total energies: -0.885 eV/atom

Entry 4:
Here is DyHoNp2Se4 after structural relaxation from the Alexandria database. Energies are from PBE.

Cell lengths 7.0313, 4.0823, 7.1197 Å; angles 90.00, 109.55, 90.00 degrees
With the nearest neighbours (Å) after each atom.
Space group P2/m (No. 10)
Symmetry-distinct sites (fractional):
Dy  0.0000  0.0000  0.0000 (multiplicity 1)  6 Se 2.87-2.88
Ho  0.0000  0.5000  0.5000 (multiplicity 1)  6 Se 2.87
Np  0.5000  0.0000  0.5000 (multiplicity 1)  6 Se 2.90-2.91
Np  0.5000  0.5000  0.0000 (multiplicity 1)  6 Se 2.90-2.91
Se  0.2454  0.0000  0.7486 (multiplicity 2)  2 Ho 2.87, 1 Dy 2.87, 3 Np 2.90-2.91
Se  0.2460  0.5000  0.2503 (multiplicity 2)  1 Ho 2.87, 2 Dy 2.88, 3 Np 2.90-2.91

Results
* crystal system: monoclinic
* final energy: -7.524 eV/atom
* formation energy from raw total energies: -1.399 eV/atom

Entry 5:
Here is DyHo3O after structural relaxation from the Alexandria database. Energies are from PBE.

Cell lengths 4.9123, 4.9123, 4.9123 Å; angles 90.00, 90.00, 90.00 degrees
With the nearest neighbours (Å) after each atom.
Space group Pm-3m (No. 221)
Symmetry-distinct sites (fractional):
Dy  0.0000  0.0000  0.0000 (multiplicity 1)  12 Ho 3.47
Ho  0.0000  0.5000  0.5000 (multiplicity 3)  2 O 2.46
O  0.5000  0.5000  0.5000 (multiplicity 1)  6 Ho 2.46

Results
* crystal system: cubic
* final energy: -5.756 eV/atom
* formation energy from raw total energies: -1.097 eV/atom

Entry 6:
Here is DyHoO4 after structural relaxation from the Alexandria database. Energies are from PBE.

Cell lengths 6.7975, 3.7352, 6.2005 Å; angles 90.00, 96.21, 90.00 degrees
With the nearest neighbours (Å) after each atom.
Space group Cm (No. 8)
Symmetry-distinct sites (fractional):
Dy  0.0000  0.0000  0.0000 (multiplicity 2)  7 O 2.25-2.42
Ho  0.3668  0.0000  0.4570 (multiplicity 2)  7 O 2.25-2.41
O  0.0362  0.0000  0.3748 (multiplicity 2)  3 Ho 2.25-2.28, 1 Dy 2.31
O  0.0909  0.5000  0.7819 (multiplicity 2)  1 O 1.49
O  0.2763  0.5000  0.6724 (multiplicity 2)  1 O 1.49
O  0.3310  0.0000  0.0847 (multiplicity 2)  3 Dy 2.25-2.28, 1 Ho 2.30

Results
* crystal system: monoclinic
* final energy: -7.829 eV/atom
* formation energy from raw total energies: -2.993 eV/atom

Entry 7:
Here is DyHoO after structural relaxation from the Alexandria database. Energies are from PBE.

Cell lengths 3.5230, 3.5230, 5.6956 Å; angles 90.00, 90.00, 120.00 degrees
With the nearest neighbours (Å) after each atom.
Space group P3m1 (No. 156)
Symmetry-distinct sites (fractional):
Dy  0.0000  0.0000  0.0000 (multiplicity 1)  3 O 2.45
Ho  0.3333  0.6667  0.4700 (multiplicity 1)  3 O 2.42
O  0.6667  0.3333  0.2387 (multiplicity 1)  3 Ho 2.42, 3 Dy 2.45

Results
* crystal system: trigonal
* final energy: -6.511 eV/atom
* formation energy from raw total energies: -1.798 eV/atom

Entry 8:
Here is DyHo2O after structural relaxation from the Alexandria database. Energies are from PBE.

Cell lengths 3.4964, 3.4964, 25.9375 Å; angles 90.00, 90.00, 120.00 degrees
With the nearest neighbours (Å) after each atom.
Space group R-3m (No. 166, hexagonal axes)
Symmetry-distinct sites (fractional):
Dy  0.0000  0.0000  0.0000 (multiplicity 3)  6 Dy 3.50, 6 Ho 3.58
Ho  0.0000  0.0000  0.2194 (multiplicity 6)  3 O 2.44
O  0.0000  0.0000  0.5000 (multiplicity 3)  6 Ho 2.44

Results
* crystal system: trigonal
* ΔE to the lowest computed polymorph: 0.0000 eV per atom
* final energy: -6.030 eV/atom
* formation energy from raw total energies: -1.351 eV/atom